DFT (PBE) results for a relaxed KGe crystal.

The structure in POSCAR format:
```
KGe
1.0
-10.6534 3.7977 2.8317
-0.0552 -3.4606 11.1336
8.3132 6.5612 -4.8762
K Ge
16 16
Cartesian
-0.7689 7.4343 2.0040
0.4012 2.2549 3.0263
-3.4547 3.1464 5.5943
-0.4477 -1.3433 8.0084
-5.4737 4.7277 9.5541
-4.3036 -0.4518 10.5764
0.7294 8.1573 -2.4107
3.7365 3.6676 0.0035
-7.3048 1.9053 10.9912
-3.9783 0.9754 2.4721
4.8556 3.2028 3.6459
-2.5265 2.6100 9.0921
-7.2510 3.6955 5.4432
0.1311 4.2883 -0.0030
-0.4448 5.1615 5.0805
-1.3759 -0.8069 4.5106
2.5194 7.0333 0.5977
1.2732 0.9466 -0.2110
-2.5301 4.3642 2.3364
1.7442 0.3503 5.7108
1.8914 1.3310 8.1288
-5.1204 4.3171 2.6800
-1.3723 -2.5611 11.2663
-5.6466 1.4529 7.8919
-2.5445 5.9163 7.8341
-3.7907 -0.1704 7.0254
2.2837 2.8835 6.0633
-4.0403 6.1278 1.1358
-3.6982 6.2457 3.7241
-0.1118 1.9735 6.5772
2.1271 5.4808 2.6632
-2.1471 9.4948 -0.7112
```

energy above the most stable polymorph in this dataset	0.000	eV per formula unit
energy of formation	-0.426	eV/f.u.
density	2.9	g cm⁻³



DFT (PBE) results for a relaxed PrTm2MgHg4 crystal.

The structure in POSCAR format:
```
PrTm2MgHg4
1.0
-4.2095 2.7910 0.5675
-4.4255 -2.2628 1.0613
-1.1727 0.9618 9.3305
Pr Tm Mg Hg
1 2 1 4
Cartesian
0.0000 0.0000 0.0000
-7.3973 1.0984 8.0055
-2.4104 0.3916 2.9539
-4.9038 0.7450 5.4797
-4.3107 1.0182 8.5356
-7.9852 0.8275 4.9768
-1.8225 0.6625 5.9826
-5.4970 0.4718 2.4238
```

energy of formation	-3.440	eV/f.u.
density of states at the Fermi level	4.67	states/eV/cell
density	10.8	g cm⁻³



DFT (PBE) results for a relaxed Ba2HgH6Ir crystal.

The structure in POSCAR format:
```
Ba2HgH6Ir
1.0
-4.2945 -6.6936 -1.0112
0.3417 -0.9810 5.0422
-3.9239 2.7923 -1.8190
Ba Hg H Ir
2 1 6 1
Cartesian
-3.4079 0.1227 0.2548
-4.4689 -5.0049 1.9572
-2.1473 -3.3468 -0.5056
-4.9743 -5.1885 -0.6724
-7.0464 -3.7140 -1.6329
-6.8660 -4.2320 1.0297
-0.8303 -1.1682 3.8449
-1.0108 -0.6502 1.1823
-2.9024 0.3063 2.8844
0.0000 0.0000 0.0000
```

total DFT energy (no corrections)	-38.3	eV/cell
density of states at the Fermi level	2.74	states/eV/cell
density	6.1	g cm⁻³



DFT (PBE) results for a relaxed Ta2Ga3 crystal.

The structure in POSCAR format:
```
Ta2Ga3
1.0
3.6655 0.0000 0.0000
1.8327 4.8071 -0.6678
1.8327 0.2177 4.7104
Ta Ga
2 3
Cartesian
3.6655 1.8407 0.6526
3.6655 3.1840 3.3899
5.4982 3.8788 1.3457
1.8327 0.0000 0.0000
1.8327 1.1459 2.6968
```

energy of formation	-0.749	eV/f.u.
density of states at the Fermi level	2.19	states/eV/cell
density	11.4	g cm⁻³



DFT (PBE) results for a relaxed MgAl2Tl crystal.

The structure in POSCAR format:
```
MgAl2Tl
1.0
4.0525 0.0000 0.0000
0.0000 3.0553 0.0758
0.0000 1.6231 7.0837
Al Mg Tl
2 1 1
Cartesian
0.0000 2.5965 0.4297
2.0262 1.0419 1.6614
0.0000 2.5006 3.3992
2.0262 3.9338 5.3245
```

energy of formation	0.508	eV/f.u.
density of states at the Fermi level	0.97	states/eV/cell
density	5.4	g cm⁻³



DFT (PBE) results for a relaxed Ir2PtAu crystal.

The structure in POSCAR format:
```
Ir2PtAu
1.0
4.4813 0.0000 0.0000
2.2406 3.8809 0.0000
2.2406 1.2936 3.6590
Au Ir Pt
1 2 1
Cartesian
4.4813 2.5873 1.8295
0.0000 0.0000 0.0000
6.7219 3.8809 2.7442
2.2406 1.2936 0.9147
```

energy above the most stable polymorph in this dataset	1.562	eV per formula unit
energy of formation	2.000	eV/f.u.
density of states at the Fermi level	6.54	states/eV/cell
density	20.3	g cm⁻³



DFT (PBE) results for a relaxed MnCuRu4 crystal.

The structure in POSCAR format:
```
MnCuRu4
1.0
0.0000 3.5788 3.5788
3.5788 0.0000 3.5788
3.5788 3.5788 0.0000
Mn Cu Ru
1 1 4
Cartesian
0.0000 0.0000 0.0000
1.7894 1.7894 1.7894
2.6849 2.6849 4.4728
2.6849 4.4728 2.6849
4.4728 4.4728 4.4728
4.4728 2.6849 2.6849
```

energy of formation	3.535	eV/f.u.
density of states at the Fermi level	8.31	states/eV/cell
density	9.5	g cm⁻³



DFT (PBE) results for a relaxed Sr2LiInCu crystal.

The structure in POSCAR format:
```
Sr2LiInCu
1.0
5.9477 0.0000 0.0000
0.0000 5.9477 0.0000
0.0000 0.0000 4.9445
Sr Li Cu In
2 1 1 1
Cartesian
0.0000 2.9739 0.0000
2.9739 0.0000 0.0000
2.9739 2.9739 2.4722
0.0000 0.0000 0.0000
0.0000 0.0000 2.4722
```

energy above the most stable polymorph in this dataset	0.000	eV per formula unit
energy of formation	-0.264	eV/f.u.
density of states at the Fermi level	3.46	states/eV/cell
density	3.4	g cm⁻³